[1]
The following is a DFT calculation (PBE) of a geometry-optimized Tb2MgAl4Pt3 structure.

Values from the calculation:
V (Å³/atom): 19.20
Space-group type: P-4m2
Total moment (μB/f.u.): 0.0
Crystal system: tetragonal
Energy of formation (meV/atom): -940

Cell lengths 4.1551, 4.1551, 11.1194 Å; angles 90.00, 90.00, 90.00 degrees
Sites, in units of the cell vectors:
Al 0.5000 0.5000 0.0000
Al 0.5000 0.0000 0.6467
Al 0.0000 0.5000 0.3533
Al 0.0000 0.0000 0.0000
Tb 0.5000 0.0000 0.2361
Tb 0.0000 0.5000 0.7639
Pt 0.5000 0.0000 0.8683
Pt 0.0000 0.5000 0.1317
Pt 0.0000 0.0000 0.5000
Mg 0.5000 0.5000 0.5000



[2]
The following is a DFT calculation (PBE) of a geometry-optimized AcZnCdCu structure.

Values from the calculation:
V (Å³/atom): 23.13
Space-group type: F-43m
Total moment (μB/f.u.): 0.0
Crystal system: cubic
Energy of formation (meV/atom): -148

Cell lengths 5.0768, 5.0768, 5.0768 Å; angles 60.00, 60.00, 60.00 degrees
Sites, in units of the cell vectors:
Cd 0.0000 0.0000 0.0000
Cu 0.7500 0.7500 0.7500
Zn 0.2500 0.2500 0.2500
Ac 0.5000 0.5000 0.5000



[3]
The following is a DFT calculation (PBE) of a geometry-optimized Li2InHg9 structure.

Values from the calculation:
V (Å³/atom): 24.34
Space-group type: P4/mmm
Total moment (μB/f.u.): 0.0
ΔE to the lowest computed polymorph (eV per atom): 0.000
Crystal system: tetragonal
Energy of formation (meV/atom): -106

Cell lengths 4.7751, 4.7753, 12.8074 Å; angles 90.00, 90.00, 90.00 degrees
Sites, in units of the cell vectors:
Hg 0.5000 0.0000 0.5000
Hg 0.5000 0.5000 0.0000
Hg 0.5000 0.0000 0.8230
Hg 0.5000 0.0000 0.1770
Hg 0.0000 0.5000 0.1770
Hg 0.0000 0.5000 0.5000
Hg 0.0000 0.5000 0.8230
Hg 0.5000 0.5000 0.6642
Hg 0.5000 0.5000 0.3358
Li 0.0000 0.0000 0.3357
Li 0.0000 0.0000 0.6643
In 0.0000 0.0000 0.0000



[4]
The following is a DFT calculation (PBE) of a geometry-optimized Sm3Tl2Te6 structure.

Values from the calculation:
V (Å³/atom): 38.36
Space-group type: C2/m
Total moment (μB/f.u.): 0.0
Crystal system: monoclinic
E_form (uncorrected) (meV/atom): -1057

Cell lengths 7.7538, 7.7477, 8.5125 Å; angles 81.29, 72.38, 59.97 degrees
Sites, in units of the cell vectors:
Te 0.7408 0.0000 0.7797
Te 0.9274 0.6658 0.2210
Te 0.5932 0.3342 0.2210
Te 0.0726 0.3342 0.7790
Te 0.4068 0.6658 0.7790
Te 0.2592 0.0000 0.2203
Sm 0.0000 0.0000 0.0000
Sm 0.6671 0.6658 0.0000
Sm 0.3329 0.3342 0.0000
Tl 0.1671 0.6658 0.5000
Tl 0.8329 0.3342 0.5000



[5]
The following is a DFT calculation (PBE) of a geometry-optimized NbHN2O structure.

Values from the calculation:
V (Å³/atom): 13.93
Space-group type: P4/mmm
Total moment (μB/f.u.): 2.0
Crystal system: tetragonal
VASP energy (eV per atom): -6.471

Cell lengths 4.2020, 4.2020, 3.9435 Å; angles 90.00, 90.00, 90.00 degrees
Last column: magnetic moment on the atom in μB.
Sites, in units of the cell vectors:
N 0.5000 0.0000 0.0000  0.95
N 0.0000 0.5000 0.0000  0.95
H 0.5000 0.5000 0.5000  -0.34
O 0.0000 0.0000 0.5000  0.29
Nb 0.0000 0.0000 0.0000  -0.31



[6]
The following is a DFT calculation (PBE) of a geometry-optimized VPtI structure.

Values from the calculation:
V (Å³/atom): 25.48
Space-group type: Cm
Total moment (μB/f.u.): 0.0
ΔE to the lowest computed polymorph (eV per atom): 0.310
Crystal system: monoclinic
E_form (uncorrected) (meV/atom): 61

Cell lengths 6.8779, 3.6690, 6.3553 Å; angles 90.00, 107.56, 90.00 degrees
Sites, in units of the cell vectors:
Pt 0.5519 0.5000 0.9010
Pt 0.5519 0.0000 0.4010
V 0.7236 0.0000 0.7902
V 0.7236 0.5000 0.2902
I 0.0107 0.0000 0.2174
I 0.0107 0.5000 0.7174



> Which of these has the highest V?

Sm3Tl2Te6



> The highest total moment belongs to which entry?

NbHN2O



> Which value of total moment does entry 5 give?

2.0 μB/f.u.